Record 1
Below is BeCd2Br after structural relaxation, with properties calculated at the PBE level.

Properties
* formation energy without anion corrections: 234 kJ/mol of formula units
* final energy: -1.201 eV/atom

The structure in CIF format:
```
data_BeCd2Br
_cell_length_a 7.276
_cell_length_b 7.276
_cell_length_c 7.276
_cell_angle_alpha 90.00
_cell_angle_beta 90.00
_cell_angle_gamma 90.00
_symmetry_space_group_name_H-M 'F m -3 m'
_symmetry_Int_Tables_number 225
_symmetry_space_group_name_Hall '-F 4 2 3'
loop_
_atom_site_label
_atom_site_type_symbol
_atom_site_fract_x
_atom_site_fract_y
_atom_site_fract_z
_atom_site_occupancy
Be1 Be 0.000 0.000 0.000 1
Cd1 Cd 0.250 0.250 0.250 1
Br1 Br 0.000 0.000 0.500 1
```

Record 2
Below is FeAs2Pt after structural relaxation, with properties calculated at the PBE level.

Properties
* final energy: -5.930 eV/atom

The structure in CIF format:
```
data_FeAs2Pt
_cell_length_a 3.0143
_cell_length_b 3.0143
_cell_length_c 23.2155
_cell_angle_alpha 90.00
_cell_angle_beta 90.00
_cell_angle_gamma 120.00
_symmetry_space_group_name_H-M 'R -3 m'
_symmetry_Int_Tables_number 166
_symmetry_space_group_name_Hall '-R 3 2"'
loop_
_atom_site_label
_atom_site_type_symbol
_atom_site_fract_x
_atom_site_fract_y
_atom_site_fract_z
_atom_site_occupancy
Fe1 Fe 0.0000 0.0000 0.0000 1
As1 As 0.0000 0.0000 0.2588 1
Pt1 Pt 0.0000 0.0000 0.5000 1
```

Record 3
Below is RbZrTiCl2 after structural relaxation, with properties calculated at the PBE level.

Properties
* formation energy without anion corrections: -49 kJ/mol of formula units
* final energy: -4.322 eV/atom

The structure in CIF format:
```
data_RbZrTiCl2
_cell_length_a 5.273
_cell_length_b 5.273
_cell_length_c 5.025
_cell_angle_alpha 90.00
_cell_angle_beta 90.00
_cell_angle_gamma 90.00
_symmetry_space_group_name_H-M 'P 4/m m m'
_symmetry_Int_Tables_number 123
_symmetry_space_group_name_Hall '-P 4 2'
loop_
_atom_site_label
_atom_site_type_symbol
_atom_site_fract_x
_atom_site_fract_y
_atom_site_fract_z
_atom_site_occupancy
Rb1 Rb 0.000 0.000 0.000 1
Zr1 Zr 0.500 0.500 0.000 1
Ti1 Ti 0.500 0.500 0.500 1
Cl1 Cl 0.000 0.500 0.500 1
```

Record 4
Below is Ho2Ga4PtAu3 after structural relaxation, with properties calculated at the PBE level.

Properties
* final energy: -4.357 eV/atom

The structure in CIF format:
```
data_Ho2Ga4PtAu3
_cell_length_a 4.290
_cell_length_b 4.290
_cell_length_c 10.713
_cell_angle_alpha 90.00
_cell_angle_beta 90.00
_cell_angle_gamma 90.00
_symmetry_space_group_name_H-M 'P -4 m 2'
_symmetry_Int_Tables_number 115
loop_
_symmetry_equiv_pos_as_xyz
'x,y,z'
'y,-x,-z'
'-x,-y,z'
'-y,x,-z'
'-x,y,z'
'-y,-x,-z'
'x,-y,z'
'y,x,-z'
loop_
_atom_site_label
_atom_site_type_symbol
_atom_site_fract_x
_atom_site_fract_y
_atom_site_fract_z
_atom_site_occupancy
Ho1 Ho 0.000 0.500 0.242 1
Ga1 Ga 0.000 0.000 0.500 1
Ga2 Ga 0.000 0.500 0.871 1
Ga3 Ga 0.500 0.500 0.500 1
Pt1 Pt 0.500 0.500 0.000 1
Au1 Au 0.000 0.000 0.000 1
Au2 Au 0.000 0.500 0.640 1
```